(1)
## FeSi3W (GGA-PBE)

Data for a relaxed FeSi3W crystal.

Crystal system: cubic

abc: 4.7291 4.7291 4.7291
angles: 90.00 90.00 90.00
Last column: nearest neighbours and their distance in Å.
Space group Pm-3m (No. 221)
Unique sites:
1 Fe 0.0000 0.0000 0.0000 x1  12 Si 3.34
2 Si 0.0000 0.5000 0.5000 x3  2 W 2.36
3 W 0.5000 0.5000 0.5000 x1  6 Si 2.36

=====

(2)
## ZrPtN2F (GGA-PBE)

Data for a relaxed ZrPtN2F crystal.

Crystal system: tetragonal

abc: 4.0004 4.0004 4.0359
angles: 90.00 90.00 90.00
Last column: nearest neighbours and their distance in Å.
Space group P4/mmm (No. 123)
Unique sites:
1 Zr 0.0000 0.0000 0.0000 x1  4 F 2.83, 8 N 2.84
2 Pt 0.5000 0.5000 0.5000 x1  4 N 2.00, 2 F 2.02
3 N 0.0000 0.5000 0.5000 x2  2 Pt 2.00
4 F 0.5000 0.5000 0.0000 x1  2 Pt 2.02

=====

(3)
## AsBrCl2 (GGA-PBE)

Data for a relaxed AsBrCl2 crystal.

Crystal system: orthorhombic

abc: 3.5580 4.4237 8.1226
angles: 90.00 90.00 90.00
Last column: nearest neighbours and their distance in Å.
Space group Pmm2 (No. 25)
Unique sites:
1 As 0.0000 0.0000 0.0000 x1  1 Cl 2.11
2 Br 0.5000 0.5000 0.9631 x1  4 As 2.85
3 Cl 0.0000 0.0000 0.2596 x1  1 As 2.11
4 Cl 0.5000 0.5000 0.5214 x1  6 Cl 3.55-3.56, 1 Br 3.59

=====

For reference, total moment by record: 3.88; 0.00; 0.57 μB per cell.
For reference, ΔE_f (raw) by record: 5.2; 1.6; 0.0 eV per formula unit.